VASP calculation (PBE-GGA) on an optimized crystal structure of Sc2GaSi2Ni5.

Structure (extended XYZ):
```
20
Lattice="-1.6204 1.8025 2.2292 -5.4116 -7.1345 1.8352 5.8342 -2.7603 6.4729" Properties=species:S:1:pos:R:3 pbc="T T T"
Sc -2.6316 -5.3064 2.3779
Sc 3.0541 -4.5884 5.9302
Sc 0.9404 -2.1490 2.4213
Sc -0.5179 -7.7458 5.8867
Ga 0.0000 0.0000 0.0000
Ga 0.2113 -4.9474 4.1540
Si 2.9689 -2.5935 4.2552
Si -2.5464 -7.3014 4.0528
Si 1.7494 -6.8640 6.8218
Si -1.3268 -3.0309 1.4863
Ni -1.5846 -0.7668 1.9006
Ni 0.3866 -7.3255 8.6367
Ni 3.4645 -1.7216 6.3428
Ni -2.0959 -5.3724 5.2529
Ni -4.6624 -6.3707 4.1945
Ni 0.8980 -2.7199 5.2844
Ni 0.2902 -5.0672 6.7406
Ni -1.4881 -3.0251 3.7967
Ni -3.5160 -2.6660 2.0322
Ni 2.1069 -0.4789 4.3510
```

Results
Electronic total energy (eV/atom): -6.108
N(E_F) (states/eV/atom): 0.670
Symmetry: P4/mbm
Raw formation energy (eV/f.u.): -5.6